Computed, not measured: BeNiPt2 after structural relaxation at the PBE level of DFT. Values from VASP.

Quantum ESPRESSO input file:
```
&SYSTEM
  ibrav = 0, nat = 4, ntyp = 3
/
ATOMIC_SPECIES
Ni 58.69 Ni.upf
Be 9.01 Be.upf
Pt 195.08 Pt.upf
ATOMIC_POSITIONS angstrom
Ni 2.422 0.726 1.148
Be 5.473 1.640 2.004
Pt 8.441 2.529 2.900
Pt 1.615 0.484 3.796
CELL_PARAMETERS angstrom
5.037 0.069 0.118
4.245 2.712 0.118
1.611 0.483 3.798
```

Results
ρ: 15.14 g/cm³
V: 12.557 Å³ per atom
calculated total energy: -5.732 eV per atom

---

Computed, not measured: BeNi6Pt after structural relaxation at the PBE level of DFT. Values from VASP.

Quantum ESPRESSO input file:
```
&SYSTEM
  ibrav = 0, nat = 32, ntyp = 3
/
ATOMIC_SPECIES
Pt 195.08 Pt.upf
Ni 58.69 Ni.upf
Be 9.01 Be.upf
ATOMIC_POSITIONS angstrom
Pt 4.105 1.429 2.525
Pt -0.064 4.346 2.525
Pt 0.000 0.000 10.056
Pt 0.000 0.000 5.092
Ni 4.052 3.551 6.376
Ni 0.000 0.000 2.525
Ni 2.093 0.752 8.772
Ni 4.052 3.551 8.772
Ni -0.011 2.224 6.376
Ni -0.011 2.224 8.772
Ni 0.000 0.000 7.574
Ni 2.061 0.799 1.178
Ni -0.013 4.310 9.991
Ni 2.061 0.799 3.871
Ni 3.996 3.565 1.178
Ni 4.054 1.465 9.991
Ni 2.093 0.752 6.376
Ni 1.980 4.976 3.871
Ni 1.948 5.023 8.772
Ni 1.948 5.023 6.376
Ni 3.996 3.565 3.871
Ni 1.980 4.976 1.178
Ni 2.021 2.888 2.525
Ni 2.021 2.888 7.574
Ni -0.013 4.310 5.157
Ni 0.045 2.210 3.871
Ni 0.045 2.210 1.178
Ni 4.054 1.465 5.157
Be -0.063 4.345 7.574
Be 4.104 1.430 7.574
Be 2.021 2.888 5.140
Be 2.021 2.888 10.008
CELL_PARAMETERS angstrom
6.151 -0.003 0.000
-2.110 5.778 0.000
0.000 0.000 10.099
```

Results
ρ: 10.30 g/cm³
V: 11.214 Å³ per atom
calculated total energy: -5.664 eV per atom

---

Number 1: energy of formation from the pure elements -129 kJ/mol of formula units. Number 2: energy of formation from the pure elements -83 kJ/mol of formula units.